# 1
Below is a relaxed Cs2VS crystal, with properties calculated at the GGA-PBE level.

Unit cell a=5.977 b=5.977 c=5.977 alpha=60.00 beta=60.00 gamma=60.00
Each line ends with the local moment (μB).
Element x y z (fractional)
V 0.500 0.500 0.500  3.45
S 0.000 0.000 0.000  -0.01
Cs 0.250 0.250 0.250  0.07
Cs 0.750 0.750 0.750  0.07

Values from the calculation:
Space-group type: No. 225
Raw formation energy in eV per atom: 0.49
DOS at the Fermi energy in states/eV/cell: 4.9
Uncorrected energy in eV per atom: -3.247

---

# 2
Below is a relaxed AlNi3 crystal, with properties calculated at the GGA-PBE level.

Unit cell a=4.789 b=4.789 c=4.789 alpha=148.05 beta=127.53 gamma=62.76
Element x y z (fractional)
Ni 0.602 0.252 0.351
Al 0.982 0.000 0.982
Ni 0.483 0.500 0.983
Ni 0.099 0.748 0.351

Values from the calculation:
Space-group type: No. 44
Energy of formation from the pure elements in eV per atom: -0.338
DOS at the Fermi energy in states/eV/cell: 5.3
Uncorrected energy in eV per atom: -5.609

---

# 3
Below is a relaxed VRu3Pt crystal, with properties calculated at the GGA-PBE level.

Unit cell a=4.752 b=4.752 c=4.752 alpha=90.00 beta=90.00 gamma=90.00
Each line ends with the local moment (μB).
Element x y z (fractional)
Ru 0.000 0.000 0.500  -1.48
Ru 0.500 0.000 0.000  -1.48
Ru 0.000 0.500 0.000  -1.48
Pt 0.000 0.000 0.000  -0.36
V 0.500 0.500 0.500  2.67

Values from the calculation:
Distance to the lowest polymorph of the same formula in meV per atom: 922
Space-group type: No. 221
Energy of formation from the pure elements in eV per atom: 1.952
DOS at the Fermi energy in states/eV/cell: 11.4
Uncorrected energy in eV per atom: -6.645

---

# 4
Below is a relaxed Ho2Th2Tl7 crystal, with properties calculated at the GGA-PBE level.

Unit cell a=6.854 b=8.052 c=6.854 alpha=90.00 beta=105.17 gamma=90.00
Element x y z (fractional)
Tl 0.000 0.000 0.000
Th 0.307 0.000 0.693
Ho 0.192 0.500 0.192
Tl 0.500 0.698 0.000
Tl 0.500 0.701 0.500
Tl 0.000 0.302 0.500
Tl 0.000 0.698 0.500
Tl 0.500 0.302 0.000
Tl 0.500 0.299 0.500
Ho 0.808 0.500 0.808
Th 0.693 0.000 0.307

Values from the calculation:
Space-group type: No. 65
Energy of formation from the pure elements in eV per atom: 0.209
DOS at the Fermi energy in states/eV/cell: 8.9
Uncorrected energy in eV per atom: -3.478